Here is crystalline Na2PmMnO4 at its relaxed geometry from Alexandria. Energies are from GGA+U.

Results
V	13.559	Å³/atom
final energy	-0.47232	Ry/atom
DOS(E_F)	0.000	states/eV/atom
size of the total moment	7.927	Bohr magnetons per cell

Lattice parameters (Å, degrees): 6.565 6.565 6.787 118.69 118.69 88.54
Atoms (fractional coordinates):
Na  0.000  0.000  0.000
Na  0.000  0.000  0.500
Na  0.000  0.500  0.000
Na  0.500  0.000  0.500
Pm  0.000  0.500  0.500
Pm  0.500  0.000  0.000
Mn  0.500  0.500  0.000
Mn  0.500  0.500  0.500
O  0.268  0.708  0.970
O  0.275  0.277  0.471
O  0.277  0.275  0.971
O  0.292  0.732  0.530
O  0.708  0.268  0.470
O  0.723  0.725  0.029
O  0.725  0.723  0.529
O  0.732  0.292  0.030